Material: Pr3Zr
Method: DFT, PBE
State: relaxed

Values from the calculation:
* space group: No. 225
* E: -5.470 eV/atom
* magnetization: 0.6 μB per formula unit

Geometry as POSCAR:
```
Pr3Zr
1.0
7.977 0.000 0.000
0.000 7.977 0.000
0.000 0.000 7.977
Pr Zr
12 4
direct
0.000 0.000 0.000
0.000 0.500 0.500
0.250 0.250 0.250
0.250 0.250 0.750
0.250 0.750 0.250
0.250 0.750 0.750
0.500 0.000 0.500
0.500 0.500 0.000
0.750 0.250 0.250
0.750 0.250 0.750
0.750 0.750 0.250
0.750 0.750 0.750
0.000 0.000 0.500
0.000 0.500 0.000
0.500 0.000 0.000
0.500 0.500 0.500
```